Entry 1:
Tb2PrSi6: optimized geometry, PBE.

## Properties
Size of the total moment (μB per formula unit): 0.0
Space-group type: P6/mmm

The structure in extended XYZ format:
```
9
Lattice="4.045 0.000 0.000 0.000 6.183 -3.570 0.000 0.000 7.140" Properties=species:S:1:pos:R:3 pbc="T T T"
Tb 4.045 4.122 0.000
Tb 0.000 2.061 3.570
Si 2.022 4.104 4.770
Si 2.022 0.000 4.739
Si 2.022 2.079 -1.200
Si 2.022 6.183 -1.169
Si 2.022 2.079 1.200
Si 2.022 4.104 2.370
Pr 0.000 0.000 7.140
```

Entry 2:
Tb3PrSi2: optimized geometry, PBE.

## Properties
Size of the total moment (μB per formula unit): 0.0
Space-group type: C2/m

The structure in extended XYZ format:
```
12
Lattice="-1.859 1.430 3.678 8.099 -4.931 3.425 -0.027 8.598 -3.358" Properties=species:S:1:pos:R:3 pbc="T T T"
Tb 1.219 6.519 0.668
Tb 4.993 -1.421 3.077
Tb 0.679 3.026 -0.834
Tb 1.798 3.388 2.179
Tb 5.534 2.072 4.579
Tb 4.414 1.710 1.566
Si 2.877 0.549 3.828
Si -0.759 1.885 1.470
Si 6.971 3.213 2.275
Si 3.335 4.549 -0.083
Pr 1.661 -0.152 0.899
Pr 4.551 5.249 2.847
```

Entry 3:
Tb3Pr2Si4: optimized geometry, PBE.

## Properties
Size of the total moment (μB per formula unit): 0.0
Space-group type: P2_1/c

The structure in extended XYZ format:
```
18
Lattice="-1.352 4.259 6.113 5.004 -5.542 2.218 6.010 4.659 -1.917" Properties=species:S:1:pos:R:3 pbc="T T T"
Si 5.400 2.724 3.741
Si 2.394 5.784 4.544
Si 1.992 1.547 6.237
Si 5.709 5.700 0.646
Si 3.953 -2.323 5.768
Si 7.670 1.830 0.176
Si 4.262 0.653 2.672
Si 7.268 -2.407 1.869
Pr 7.707 3.284 5.787
Pr 7.525 0.489 3.004
Pr 2.138 2.888 3.409
Pr 1.955 0.093 0.626
Tb 4.689 0.478 5.626
Tb 4.536 -2.295 2.834
Tb 5.507 -0.441 0.150
Tb 4.973 2.900 0.787
Tb 1.826 -0.641 4.165
Tb 5.126 5.672 3.579
```

Entry 4:
Tb4PrSi4: optimized geometry, PBE.

## Properties
Size of the total moment (μB per formula unit): 0.0
Space-group type: P4_2/n

The structure in extended XYZ format:
```
18
Lattice="5.766 0.000 0.000 0.000 9.248 0.000 0.000 0.000 9.248" Properties=species:S:1:pos:R:3 pbc="T T T"
Si 3.573 1.955 6.027
Si 2.193 6.027 7.293
Si 5.076 6.579 1.403
Si 2.193 3.221 1.955
Si 3.573 7.293 3.221
Si 5.076 2.669 7.845
Si 0.690 7.845 6.579
Si 0.690 1.403 2.669
Tb 2.179 3.184 8.283
Tb 0.704 1.440 5.589
Tb 3.587 8.283 6.064
Tb 5.062 3.659 1.440
Tb 2.179 6.064 0.965
Tb 0.704 7.808 3.659
Tb 3.587 0.965 3.184
Tb 5.062 5.589 7.808
Pr 2.883 4.624 4.624
Pr 0.000 0.000 0.000
```

Entry 5:
TbPr4Si4: optimized geometry, PBE.

## Properties
Size of the total moment (μB per formula unit): 0.0
Space-group type: P4_2/n

The structure in extended XYZ format:
```
18
Lattice="-0.459 5.121 -3.316 -6.252 3.128 5.696 6.463 3.816 4.998" Properties=species:S:1:pos:R:3 pbc="T T T"
Tb 0.000 0.000 0.000
Tb -0.124 6.033 3.689
Si 0.789 6.655 6.231
Si 0.774 2.172 1.539
Si -0.898 3.861 2.150
Si -0.702 6.322 8.152
Si 3.608 8.467 2.995
Si 2.272 6.503 2.376
Si -2.659 7.112 3.999
Si -4.177 7.170 2.071
Pr -1.542 8.819 6.632
Pr 2.427 3.533 3.563
Pr 1.168 4.659 -0.168
Pr -2.342 4.824 6.217
Pr -1.751 6.495 0.541
Pr 3.913 6.316 5.125
Pr 1.170 9.279 4.436
Pr -4.034 4.337 3.169
```

Entry 6:
Pr2Si2Tc: optimized geometry, PBE.

## Properties
Size of the total moment (μB per formula unit): 0.0
Space-group type: Ibam
E above lowest polymorph (meV per atom): 135

The structure in extended XYZ format:
```
10
Lattice="6.155 0.000 0.000 0.000 6.527 0.000 -3.078 -3.264 6.141" Properties=species:S:1:pos:R:3 pbc="T T T"
Pr 3.078 5.294 1.762
Pr 0.000 1.233 1.762
Pr 3.078 2.030 4.379
Pr 0.000 -2.030 4.379
Si 3.078 -1.397 4.891
Si 0.000 4.660 1.251
Si 0.000 1.397 4.891
Si 3.078 1.867 1.251
Tc 1.539 3.264 0.000
Tc 4.617 3.264 0.000
```

Entry 7:
PrSi2Tc3: optimized geometry, PBE.

## Properties
Size of the total moment (μB per formula unit): 0.0
Space-group type: C2/m
E above lowest polymorph (meV per atom): 0

The structure in extended XYZ format:
```
12
Lattice="-0.581 -1.481 -3.829 2.499 -6.160 4.248 -7.382 1.615 0.496" Properties=species:S:1:pos:R:3 pbc="T T T"
Tc -0.753 -5.148 2.105
Tc -2.688 0.008 0.405
Tc -2.872 -2.748 -0.747
Tc -2.776 -6.034 0.510
Tc -2.592 -3.279 1.661
Tc -4.711 -0.879 -1.190
Si -1.094 -4.519 -0.332
Si -1.554 -0.757 -1.717
Si -4.370 -1.508 1.246
Si -3.910 -5.269 2.631
Pr -5.654 -4.133 0.211
Pr 0.190 -1.894 0.704
```

Entry 8:
PrSi2Tc3: optimized geometry, PBE.

## Properties
Size of the total moment (μB per formula unit): 0.0
Space-group type: Immm
E above lowest polymorph (meV per atom): 305

The structure in extended XYZ format:
```
12
Lattice="3.954 0.000 1.088 1.109 6.746 3.697 -0.013 -0.124 7.771" Properties=species:S:1:pos:R:3 pbc="T T T"
Si 2.849 5.294 5.102
Si 3.967 4.551 8.764
Si 1.082 2.071 3.793
Si 2.201 1.328 7.454
Tc 2.210 5.952 7.421
Tc 1.757 3.177 9.068
Tc 0.708 4.292 5.152
Tc 2.840 0.669 5.135
Tc 4.342 2.330 7.404
Tc 3.293 3.444 3.488
Pr 1.453 5.796 10.173
Pr 3.597 0.826 2.384
```

Entry 9:
PrSi2Tc: optimized geometry, PBE.

## Properties
Size of the total moment (μB per formula unit): 0.0
Space-group type: Pnma
E above lowest polymorph (meV per atom): 0

The structure in extended XYZ format:
```
16
Lattice="4.019 0.000 0.000 0.000 7.349 0.000 0.000 0.000 10.296" Properties=species:S:1:pos:R:3 pbc="T T T"
Tc 1.005 0.080 4.039
Tc 1.005 3.755 1.109
Tc 3.014 3.595 9.187
Tc 3.014 7.269 6.257
Si 1.005 2.485 3.211
Si 3.014 5.120 0.772
Si 3.014 1.189 8.359
Si 3.014 4.864 7.085
Si 1.005 2.230 9.524
Si 1.005 6.160 1.937
Si 1.005 5.904 5.920
Si 3.014 1.445 4.376
Pr 1.005 6.292 9.004
Pr 1.005 2.617 6.440
Pr 3.014 1.058 1.292
Pr 3.014 4.732 3.856
```

Entry 10:
PrSi2Tc4: optimized geometry, PBE.

## Properties
Size of the total moment (μB per formula unit): 0.0
Space-group type: Cmmm

The structure in extended XYZ format:
```
7
Lattice="4.136 0.000 0.000 0.000 4.153 0.000 0.000 -2.076 6.963" Properties=species:S:1:pos:R:3 pbc="T T T"
Tc 0.000 0.000 4.228
Tc 0.000 2.076 2.735
Tc 2.068 0.000 2.663
Tc 2.068 2.076 4.300
Pr 0.000 0.000 0.000
Si 2.068 0.000 5.699
Si 2.068 2.076 1.264
```

Entry 11:
PrSi2Tc2: optimized geometry, PBE.

## Properties
Size of the total moment (μB per formula unit): 0.0
Space-group type: Imma

The structure in extended XYZ format:
```
10
Lattice="-1.676 -3.140 2.105 1.517 -2.706 -2.829 8.862 1.991 5.964" Properties=species:S:1:pos:R:3 pbc="T T T"
Si 2.127 -3.793 0.097
Si 4.519 0.157 3.831
Si 6.575 -0.062 5.143
Si 4.184 -4.012 1.409
Pr 3.253 -0.982 1.126
Pr 5.450 -2.873 4.114
Tc 1.770 -2.097 -1.718
Tc 6.933 -1.758 6.958
Tc 0.207 -2.317 0.770
Tc 8.496 -1.538 4.470
```

Entry 12:
Pr5Si5Tc2: optimized geometry, PBE.

## Properties
Size of the total moment (μB per formula unit): 0.0
Space-group type: C2/m

The structure in extended XYZ format:
```
12
Lattice="4.364 0.000 0.000 -2.182 6.317 0.543 0.000 -2.118 10.008" Properties=species:S:1:pos:R:3 pbc="T T T"
Tc 0.000 -0.784 8.170
Tc 2.182 4.982 2.381
Pr 0.000 1.509 6.295
Pr 0.000 2.517 9.441
Pr 2.182 2.690 4.256
Pr 2.182 1.682 1.110
Pr 2.182 -1.059 5.004
Si 0.000 0.552 3.343
Si 2.182 3.646 7.208
Si 0.000 0.000 0.000
Si 2.182 0.214 8.015
Si 0.000 3.985 2.536
```

Entry 13:
Pr2Si2Tc: optimized geometry, PBE.

## Properties
Size of the total moment (μB per formula unit): 0.0
Space-group type: C2/m
E above lowest polymorph (meV per atom): 0

The structure in extended XYZ format:
```
10
Lattice="4.166 0.000 0.987 2.085 5.679 0.484 -0.031 -0.317 9.410" Properties=species:S:1:pos:R:3 pbc="T T T"
Si 5.330 4.127 5.357
Si 1.822 0.594 1.595
Si 4.398 4.768 9.287
Si 0.890 1.235 5.525
Tc 2.842 0.195 6.572
Tc 3.378 5.167 4.310
Pr 2.733 3.572 7.031
Pr 3.487 1.790 3.851
Pr 4.363 1.271 9.434
Pr 1.857 4.091 1.448
```

Entry 14:
Pr2Si4Tc5: optimized geometry, PBE.

## Properties
Size of the total moment (μB per formula unit): 0.0
Space-group type: Fmmm

The structure in extended XYZ format:
```
11
Lattice="5.762 0.000 0.000 2.881 5.103 0.000 2.881 0.000 6.783" Properties=species:S:1:pos:R:3 pbc="T T T"
Si 5.762 3.594 1.826
Si 2.881 1.509 1.826
Si 5.762 1.509 4.957
Si 8.644 3.594 4.957
Tc 7.203 2.552 3.391
Tc 4.322 2.552 0.000
Tc 4.322 2.552 3.391
Tc 1.441 2.552 0.000
Tc 2.881 0.000 0.000
Pr 5.762 0.000 1.808
Pr 2.881 0.000 4.975
```

Entry 15:
PrSiTc: optimized geometry, PBE.

## Properties
Size of the total moment (μB per formula unit): 0.2
Space-group type: P-6m2
E above lowest polymorph (meV per atom): 209

The structure in extended XYZ format:
```
3
Lattice="-0.537 -3.379 2.585 3.799 0.644 1.631 -3.348 1.839 1.707" Properties=species:S:1:pos:R:3 pbc="T T T"
Tc -0.090 -0.563 0.431
Pr 1.059 -1.210 3.379
Si -1.055 0.877 2.113
```

Entry 16:
PrSi3Tc2: optimized geometry, PBE.

## Properties
Size of the total moment (μB per formula unit): 0.0
Space-group type: Cmcm

The structure in extended XYZ format:
```
12
Lattice="-0.709 -3.120 4.794 5.759 1.198 1.631 -3.341 4.494 2.431" Properties=species:S:1:pos:R:3 pbc="T T T"
Tc -1.532 3.838 2.272
Tc 3.950 1.853 1.790
Tc -1.886 2.278 4.669
Tc 3.595 0.293 4.187
Si 2.068 4.505 4.971
Si -0.095 3.846 4.222
Si 3.169 2.664 3.935
Si -1.460 -0.093 4.921
Si 1.804 -1.275 4.634
Si -0.359 -1.934 3.885
Pr 1.070 1.430 6.286
Pr 0.639 1.141 2.569
```

Entry 17:
PrSi2Tc: optimized geometry, PBE.

## Properties
Size of the total moment (μB per formula unit): 0.0
Space-group type: R-3m
E above lowest polymorph (meV per atom): 577

The structure in extended XYZ format:
```
4
Lattice="4.798 0.000 0.000 2.399 4.156 0.000 2.399 1.385 3.647" Properties=species:S:1:pos:R:3 pbc="T T T"
Si 2.399 1.385 1.041
Si 7.198 4.156 2.606
Pr 4.798 2.770 1.824
Tc 0.000 0.000 0.000
```

Entry 18:
PrSi2Tc: optimized geometry, PBE.

## Properties
Size of the total moment (μB per formula unit): 0.0
Space-group type: P4/mmm
E above lowest polymorph (meV per atom): 257

The structure in extended XYZ format:
```
4
Lattice="3.165 0.000 0.000 0.000 3.165 0.000 0.000 0.000 7.072" Properties=species:S:1:pos:R:3 pbc="T T T"
Tc 1.583 1.583 0.000
Pr 1.583 1.583 3.536
Si 0.000 0.000 5.767
Si 0.000 0.000 1.305
```

Entry 19:
PrSi2Tc2: optimized geometry, PBE.

## Properties
Size of the total moment (μB per formula unit): 0.0
Space-group type: I4/mmm

The structure in extended XYZ format:
```
5
Lattice="-1.221 1.221 3.812 -0.042 -3.989 1.264 5.577 1.793 -1.085" Properties=species:S:1:pos:R:3 pbc="T T T"
Tc 2.452 -1.790 1.358
Tc 1.863 0.815 2.633
Si 0.631 -1.280 2.909
Si 3.684 0.304 1.082
Pr 0.000 0.000 0.000
```

Entry 20:
Pr3Si8Tc3: optimized geometry, PBE.

## Properties
Size of the total moment (μB per formula unit): 0.0
Space-group type: Immm

The structure in extended XYZ format:
```
14
Lattice="4.206 0.000 0.000 2.103 7.782 -0.353 2.103 1.779 7.584" Properties=species:S:1:pos:R:3 pbc="T T T"
Si 4.206 5.392 0.457
Si 6.310 5.551 5.928
Si 4.206 4.168 6.774
Si 6.310 7.215 3.727
Si 2.103 4.010 1.303
Si 4.206 7.653 2.167
Si 4.206 1.907 5.064
Si 2.103 2.345 3.503
Pr 4.206 1.750 1.323
Pr 4.206 4.780 3.615
Pr 4.206 7.811 5.907
Tc 2.103 3.150 5.770
Tc 2.103 0.000 0.000
Tc 2.103 6.410 1.460
```

Entry 21:
PrSiTc: optimized geometry, PBE.

## Properties
Size of the total moment (μB per formula unit): 0.0
Space-group type: P4/nmm
E above lowest polymorph (meV per atom): 0

The structure in extended XYZ format:
```
6
Lattice="-1.558 -4.033 0.700 3.746 -1.707 -1.497 2.535 0.108 6.236" Properties=species:S:1:pos:R:3 pbc="T T T"
Si 2.780 -1.808 4.336
Si 2.209 -4.752 -0.159
Pr 1.486 -1.866 1.149
Pr 3.504 -4.693 3.028
Tc 5.088 -2.645 4.657
Tc 2.436 -3.808 5.756
```

What calculated volume values result from the calculations? In sequence: 178.56 318.36 443.38 493.14 497.54 246.74 212.74 209.02 304.10 119.60 181.53 280.91 222.75 199.47 65.01 207.08 72.72 70.85 90.57 250.90 129.16 Å³ per cell.
What energy relative to the elements, uncorrected values result from the calculations? In sequence: -0.55 -0.49 -0.75 -0.47 -0.47 -0.48 -0.48 -0.17 -0.66 -0.50 -0.58 -0.47 -0.62 -0.45 -0.33 -0.56 -0.08 -0.40 -0.58 -0.44 -0.54 eV/atom.